# 1
Compound: HoEr5Ir6
Source: Alexandria via LeMat-Bulk
Functional: PBE-GGA
Structure: optimized geometry

abc: 4.6898 14.0891 7.1136
angles: 90.00 90.00 90.00
With the nearest neighbours (Å) after each atom.
Space group Cmmm (No. 65)
Asymmetric unit:
Ho  0.0000  0.0000  0.0000 x2  8 Ir 2.95
Er  0.0000  0.0000  0.5000 x2  8 Ir 2.94-2.95
Er  0.0000  0.3332  0.0000 x4  8 Ir 2.94-2.95
Er  0.0000  0.3333  0.5000 x4  8 Ir 2.94
Ir  0.0000  0.1669  0.2504 x8  7 Er 2.94-2.95, 1 Ho 2.95
Ir  0.0000  0.5000  0.2509 x4  6 Er 2.94-2.95, 2 Ho 2.95

Electronic total energy, eV per atom: -7.5923
ρ, g/cm³: 15.22
DFT formation energy, eV/atom: -0.88

# 2
Compound: TcRh2Se
Source: Alexandria via LeMat-Bulk
Functional: PBE-GGA
Structure: optimized geometry

abc: 3.8436 3.8436 4.0074
angles: 90.00 90.00 90.00
With the nearest neighbours (Å) after each atom.
Space group P4/mmm (No. 123)
Asymmetric unit:
Tc  0.0000  0.0000  0.0000 x1  4 Se 2.72, 8 Rh 2.78
Rh  0.0000  0.5000  0.5000 x2  4 Rh 2.72, 4 Se 2.78, 4 Tc 2.78
Se  0.5000  0.5000  0.0000 x1  4 Tc 2.72, 8 Rh 2.78

Electronic total energy, eV per atom: -6.8580
Uncorrected formation energy, eV per atom: 0.280
ρ, g/cm³: 10.74

# 3
Compound: NdErCuOs
Source: Alexandria via LeMat-Bulk
Functional: PBE-GGA
Structure: optimized geometry

abc: 6.9500 6.9500 6.9500
angles: 90.00 90.00 90.00
With the nearest neighbours (Å) after each atom.
Space group F-43m (No. 216)
Asymmetric unit:
Nd  0.0000  0.0000  0.0000 x4  4 Os 3.01, 4 Cu 3.01
Er  0.0000  0.0000  0.5000 x4  4 Os 3.01, 4 Cu 3.01
Cu  0.2500  0.2500  0.2500 x4  4 Er 3.01, 4 Nd 3.01
Os  0.2500  0.2500  0.7500 x4  4 Er 3.01, 4 Nd 3.01

Electronic total energy, eV per atom: -6.3298
ρ, g/cm³: 11.18
DFT formation energy, eV/atom: -0.17

# 4
Compound: CeZr5N4
Source: Alexandria via LeMat-Bulk
Functional: PBE-GGA
Structure: optimized geometry

abc: 14.3497 3.3409 6.7506
angles: 90.00 104.36 90.00
With the nearest neighbours (Å) after each atom.
Space group C2/m (No. 12)
Asymmetric unit:
Ce  0.0000  0.0000  0.0000 x2  6 N 2.41-2.47
Zr  0.0000  0.0000  0.5000 x2  4 N 2.29
Zr  0.1655  0.5000  0.8505 x4  4 N 2.24-2.37
Zr  0.1706  0.5000  0.3204 x4  3 N 2.30-2.32
N  0.0043  0.5000  0.2708 x4  4 Zr 2.29-2.37, 2 Ce 2.47
N  0.1735  0.0000  0.0889 x4  5 Zr 2.24-2.30, 1 Ce 2.41

Electronic total energy, eV per atom: -9.5228
Uncorrected formation energy, eV per atom: -1.325
ρ, g/cm³: 6.91

# 5
Compound: Ba2Cd9Rh3
Source: Alexandria via LeMat-Bulk
Functional: PBE-GGA
Structure: optimized geometry

abc: 14.9707 8.2397 11.9516
angles: 90.00 116.07 90.00
With the nearest neighbours (Å) after each atom.
Space group C2/c (No. 15)
Asymmetric unit:
Ba  0.1748  0.0737  0.2428 x8  11 Cd 3.38-3.61, 1 Rh 3.61
Cd  0.0000  0.3375  0.2500 x4  2 Rh 2.87, 4 Cd 3.18-3.21
Cd  0.0615  0.0836  0.9269 x8  3 Rh 2.79-2.96, 1 Cd 2.95
Cd  0.0922  0.4142  0.0320 x8  3 Rh 2.88-2.90, 3 Cd 2.89-2.98
Cd  0.1036  0.3217  0.7477 x8  2 Rh 2.87-2.90, 4 Cd 3.11-3.16
Cd  0.2234  0.4139  0.4419 x8  3 Rh 2.84-2.91, 4 Cd 2.98-3.18
Rh  0.0868  0.2383  0.5063 x8  8 Cd 2.79-2.96
Rh  0.2500  0.2500  0.0000 x4  8 Cd 2.84-2.91

Electronic total energy, eV per atom: -2.6329
ρ, g/cm³: 8.00
DFT formation energy, eV/atom: -0.19

# 6
Compound: SmDy5Al4
Source: Alexandria via LeMat-Bulk
Functional: PBE-GGA
Structure: optimized geometry

abc: 3.5797 3.5797 19.7467
angles: 90.00 90.00 90.00
With the nearest neighbours (Å) after each atom.
Space group P4/mmm (No. 123)
Asymmetric unit:
Sm  0.0000  0.0000  0.0000 x1  4 Sm 3.58, 8 Dy 3.62
Dy  0.5000  0.5000  0.1312 x2  4 Al 3.12
Dy  0.5000  0.5000  0.3161 x2  8 Al 3.11-3.13
Dy  0.5000  0.5000  0.5000 x1  8 Al 3.12
Al  0.0000  0.0000  0.2231 x2  8 Dy 3.12-3.13
Al  0.0000  0.0000  0.4079 x2  8 Dy 3.11-3.12

Electronic total energy, eV per atom: -4.5807
ρ, g/cm³: 7.03
DFT formation energy, eV/atom: -0.31